[1]
Computed, not measured: a PBEsol-optimized structure of Mg2SnRuBr at the SCAN level of DFT.

POSCAR file:
```
Mg2SnRuBr
1.0
4.8186 0.0000 0.0000
0.0000 4.8186 0.0000
0.0000 0.0000 5.4368
Mg Sn Ru Br
2 1 1 1
direct
0.0000 0.5000 0.0000
0.5000 0.0000 0.0000
0.0000 0.0000 0.5000
0.5000 0.5000 0.5000
0.0000 0.0000 0.0000
```

formation energy without anion corrections	0.97	eV/atom

***

[2]
Computed, not measured: a PBEsol-optimized structure of MgSe2SBr at the SCAN level of DFT.

POSCAR file:
```
MgSe2SBr
1.0
4.7712 0.0000 0.0000
0.0000 5.0452 0.0000
0.0000 0.0000 5.0452
S Br Mg Se
1 1 1 2
direct
0.5000 0.5000 0.5000
0.5000 0.0000 0.0000
0.0000 0.0000 0.0000
0.0000 0.0000 0.5000
0.0000 0.5000 0.0000
```

formation energy without anion corrections	0.35	eV/atom

***

Record-wise N(E_F) values, in states/eV/atom: 0.4082 0.9163